The following is a DFT calculation (GGA-PBE) of crystalline Ba2Ca3Ag2 at its relaxed geometry.

Unit cell a=6.9412 b=6.9412 c=9.7665 alpha=113.11 beta=113.11 gamma=39.14
Closest atoms and distances in Å follow each position.
Positions (direct):
Ba  0.1505  0.1505  0.2934  3 Ag 3.55-3.86
Ba  0.8495  0.8495  0.7066  3 Ag 3.55-3.86
Ca  0.3711  0.3711  0.0658  3 Ag 3.17-3.36
Ca  0.5000  0.5000  0.5000  4 Ag 3.26
Ca  0.6289  0.6289  0.9342  3 Ag 3.17-3.36
Ag  0.1511  0.1511  0.7279  5 Ca 3.17-3.36
Ag  0.8489  0.8489  0.2721  5 Ca 3.17-3.36

Results
formation energy: -1.29 eV/f.u.
space group: No. 12
energy: -16.844 eV/cell